Computed, not measured: a geometry-optimized CsTl2ZnW structure at the PBE-GGA level of DFT.

a b c (Å): 6.488 6.488 5.466
angles (deg): 90.00 90.00 90.00
Each line ends with the local moment (μB).
Sites, in units of the cell vectors:
Tl: 0.500 0.000 0.000  -0.06
Zn: 0.500 0.500 0.500  0.00
Tl: 0.000 0.500 0.000  -0.06
Cs: 0.000 0.000 0.000  -0.01
W: 0.000 0.000 0.500  2.25

## Properties
ΔH_f (0 K): 2166 meV per atom
space group: P4/mmm
density: 5.71 g/cm3